A.
# Ca2Sn3Pd5

An optimized crystal structure of Ca2Sn3Pd5 (PBE, Alexandria via LeMat-Bulk).

```
Ca2Sn3Pd5
1.0
-0.608 -1.517 5.977
-8.172 -3.395 1.519
1.581 -8.764 1.148
Ca Sn Pd
4 6 10
Cartesian
-4.757 -3.433 1.856
-0.557 -6.671 4.673
-2.442 -10.242 6.787
-6.642 -7.004 3.970
-3.440 -8.931 3.806
-5.785 -8.567 6.872
-3.759 -4.744 4.837
-1.414 -5.109 1.771
-0.152 -0.379 1.494
-0.456 -1.138 4.482
-0.963 -9.682 3.868
-7.736 -6.879 7.102
-6.236 -3.994 4.775
0.537 -6.796 1.541
-5.457 -10.250 4.872
-1.742 -3.425 3.771
-3.751 -7.217 5.816
-3.448 -6.459 2.827
-1.438 -2.667 0.783
-5.761 -11.009 7.860
```

=====

B.
# Ca2Sn3Pd5

An optimized crystal structure of Ca2Sn3Pd5 (PBE, Alexandria via LeMat-Bulk).

```
Ca2Sn3Pd5
1.0
-0.602 3.118 -3.210
-0.842 -5.158 -4.853
-12.144 -1.645 3.855
Ca Sn Pd
4 6 10
Cartesian
-12.548 -3.654 -1.196
-5.142 -4.164 -3.080
-8.531 -0.050 -1.624
-0.943 0.564 -2.451
-7.966 -2.818 -4.419
-3.632 -0.730 -3.203
-1.974 -4.663 -4.159
-5.772 -1.787 -0.654
-11.870 -0.594 -1.526
-10.275 -4.913 -2.845
-10.170 -1.751 0.207
-8.026 -3.218 -1.620
-5.332 0.938 -1.264
-3.155 -0.997 -0.376
-6.987 -0.249 1.068
-11.387 1.366 0.287
-6.245 -1.260 -3.228
-10.331 -2.062 -3.241
-1.818 -2.705 -2.286
-3.546 -2.720 -5.153
```

=====

Most stable structure, least stable structure: B, A.

=====

A.
# CaSn3Pd3

An optimized crystal structure of CaSn3Pd3 (PBE, Alexandria via LeMat-Bulk).

```
CaSn3Pd3
1.0
8.281 0.000 0.000
4.140 7.171 0.000
4.140 2.390 5.386
Ca Sn Pd
2 6 6
Cartesian
4.140 2.390 0.053
12.421 7.171 5.333
9.564 7.260 3.555
9.786 2.430 3.555
5.492 4.653 3.555
11.069 4.909 1.831
6.776 7.132 1.831
6.997 2.302 1.831
5.460 4.894 0.891
9.593 2.282 0.891
9.789 7.167 0.891
6.772 2.395 4.495
6.968 7.280 4.495
11.101 4.668 4.495
```

=====

B.
# CaSn3Pd3

An optimized crystal structure of CaSn3Pd3 (PBE, Alexandria via LeMat-Bulk).

```
CaSn3Pd3
1.0
-5.357 -4.018 -2.968
3.723 -0.308 -6.301
3.331 -6.117 2.267
Ca Sn Pd
2 6 6
Cartesian
0.848 -5.221 -3.501
0.000 0.000 0.000
0.326 -4.063 0.392
2.694 -1.683 -2.583
0.113 -2.240 -6.210
-2.352 -6.072 -1.093
4.360 -4.742 -1.450
-1.748 -2.086 -3.059
2.596 -3.135 -0.441
4.457 -3.290 -3.592
-0.180 -6.596 0.216
-2.156 -3.167 -5.377
-1.846 -3.538 -0.917
0.522 -1.159 -3.892
```

=====

Most stable structure, least stable structure: A, B.